Ba4ZrIn after structural relaxation, computed with PBE-GGA.

Unit cell a=10.1856 b=10.1856 c=10.1856 alpha=90.00 beta=90.00 gamma=90.00
Closest atoms and distances in Å follow each position.
Space group F-43m (No. 216)
Symmetry-distinct sites (fractional):
Ba (0.1250, 0.1250, 0.1250) x16  6 Ba 3.60
Zr (0.0000, 0.0000, 0.5000) x4  12 Ba 4.22, 4 In 4.41
In (0.2500, 0.2500, 0.7500) x4  12 Ba 4.22, 4 Zr 4.41

DOS at the Fermi energy, states/eV/cell: 40.7
Calculated formation energy, meV/atom: 659
Mass density, Mg/m³: 4.75

BaZrIn4 after structural relaxation, computed with PBE-GGA.

Unit cell a=8.6520 b=8.6520 c=8.6520 alpha=90.00 beta=90.00 gamma=90.00
Closest atoms and distances in Å follow each position.
Space group F-43m (No. 216)
Symmetry-distinct sites (fractional):
Ba (0.0000, 0.0000, 0.0000) x4  12 In 3.59, 4 Zr 3.75
Zr (0.2500, 0.2500, 0.7500) x4  12 In 3.59, 4 Ba 3.75
In (0.1243, 0.1243, 0.3757) x16  6 In 3.04-3.08

DOS at the Fermi energy, states/eV/cell: 18.0
Calculated formation energy, meV/atom: -77
Mass density, Mg/m³: 7.05

BaZrIn3 after structural relaxation, computed with PBE-GGA.

Unit cell a=5.6275 b=5.6275 c=5.6275 alpha=90.00 beta=90.00 gamma=90.00
Closest atoms and distances in Å follow each position.
Space group Pm-3m (No. 221)
Symmetry-distinct sites (fractional):
Ba (0.0000, 0.0000, 0.0000) x1  12 In 3.98
Zr (0.5000, 0.5000, 0.5000) x1  6 In 2.81
In (0.0000, 0.5000, 0.5000) x3  2 Zr 2.81

DOS at the Fermi energy, states/eV/cell: 6.4
Calculated formation energy, meV/atom: -46
Mass density, Mg/m³: 5.34
ΔE to the lowest computed polymorph, meV per atom: 0

BaZr2In2 after structural relaxation, computed with PBE-GGA.

Unit cell a=9.1640 b=9.1640 c=3.1911 alpha=90.00 beta=90.00 gamma=90.00
Closest atoms and distances in Å follow each position.
Space group P4/mbm (No. 127)
Symmetry-distinct sites (fractional):
Ba (0.0000, 0.0000, 0.0000) x2  2 Ba 3.19
Zr (0.1194, 0.3806, 0.0000) x4  3 Zr 3.09-3.19, 6 In 3.13-3.16
In (0.1732, 0.6732, 0.5000) x4  6 Zr 3.13-3.16, 2 In 3.19

DOS at the Fermi energy, states/eV/cell: 10.5
Calculated formation energy, meV/atom: -120
Mass density, Mg/m³: 6.81
ΔE to the lowest computed polymorph, meV per atom: 0

BaZr3In after structural relaxation, computed with PBE-GGA.

Unit cell a=5.5139 b=5.5139 c=5.5139 alpha=90.00 beta=90.00 gamma=90.00
Closest atoms and distances in Å follow each position.
Space group Pm-3m (No. 221)
Symmetry-distinct sites (fractional):
Ba (0.0000, 0.0000, 0.0000) x1  12 Zr 3.90
Zr (0.0000, 0.5000, 0.5000) x3  2 In 2.76
In (0.5000, 0.5000, 0.5000) x1  6 Zr 2.76

DOS at the Fermi energy, states/eV/cell: 7.7
Calculated formation energy, meV/atom: 888
Mass density, Mg/m³: 5.21
ΔE to the lowest computed polymorph, meV per atom: 0

BaZr3In after structural relaxation, computed with PBE-GGA.

Unit cell a=5.2929 b=5.2929 c=5.2929 alpha=90.00 beta=90.00 gamma=90.00
Closest atoms and distances in Å follow each position.
Space group Pm-3m (No. 221)
Symmetry-distinct sites (fractional):
Ba (0.0000, 0.0000, 0.0000) x1  6 Zr 2.65
Zr (0.0000, 0.0000, 0.5000) x3  2 Ba 2.65
In (0.5000, 0.5000, 0.5000) x1  12 Zr 3.74

DOS at the Fermi energy, states/eV/cell: 3.1
Calculated formation energy, meV/atom: 1598
Mass density, Mg/m³: 5.89
ΔE to the lowest computed polymorph, meV per atom: 709